(1)
Here is a relaxed AlCuRe crystal from the Alexandria database. Energies are from GGA-PBE.

a b c (Å): 11.305 11.305 11.305
angles (deg): 165.84 165.84 20.07
Fractional coordinates of all 6 atoms:
1 Al 0.138 0.138 0.000
2 Al 0.862 0.862 0.000
3 Cu 0.287 0.287 0.000
4 Cu 0.713 0.713 0.000
5 Re 0.448 0.448 0.000
6 Re 0.552 0.552 0.000

Output
Energy of formation from the pure elements: 0.138 eV/atom
SG: I4/mmm
Electronic total energy: -6.62 eV per atom
Density: 10.6 g/cm³
Energy relative to the lowest polymorph listed for this composition: 254 meV per atom
Total moment: 0.0 μB/f.u.

(2)
Here is a relaxed PaMnAl5 crystal from the Alexandria database. Energies are from GGA-PBE.

a b c (Å): 4.311 4.311 6.880
angles (deg): 90.00 90.00 90.00
Fractional coordinates of all 7 atoms:
1 Pa 0.000 0.000 0.000
2 Mn 0.000 0.000 0.500
3 Al 0.000 0.500 0.309
4 Al 0.000 0.500 0.691
5 Al 0.500 0.000 0.309
6 Al 0.500 0.000 0.691
7 Al 0.500 0.500 0.000

Output
Energy of formation from the pure elements: -0.234 eV/atom
SG: P4/mmm
Electronic total energy: -5.57 eV per atom
Density: 5.5 g/cm³
Total moment: 1.7 μB/f.u.

(3)
Here is a relaxed NaLiTe2 crystal from the Alexandria database. Energies are from GGA-PBE.

a b c (Å): 5.267 5.267 5.267
angles (deg): 60.00 60.00 60.00
Fractional coordinates of all 4 atoms:
1 Na 0.000 0.000 0.000
2 Li 0.500 0.500 0.500
3 Te 0.250 0.250 0.250
4 Te 0.750 0.750 0.750

Output
SG: Fm-3m
Electronic total energy: -2.90 eV per atom
Density: 4.6 g/cm³
Energy relative to the lowest polymorph listed for this composition: 125 meV per atom
Formation energy from raw total energies: -2.07 eV/f.u.
Total moment: 0.0 μB/f.u.

(4)
Here is a relaxed Pm4Nd2Y7 crystal from the Alexandria database. Energies are from GGA-PBE.

a b c (Å): 6.249 8.080 9.554
angles (deg): 65.10 83.77 82.49
Fractional coordinates of all 13 atoms:
1 Pm 0.038 0.423 0.347
2 Pm 0.193 0.115 0.730
3 Pm 0.807 0.885 0.270
4 Pm 0.962 0.577 0.653
5 Nd 0.345 0.808 0.116
6 Nd 0.655 0.192 0.884
7 Y 0.116 0.271 0.039
8 Y 0.269 0.962 0.423
9 Y 0.423 0.654 0.808
10 Y 0.500 0.500 0.500
11 Y 0.577 0.346 0.192
12 Y 0.731 0.038 0.577
13 Y 0.884 0.729 0.961

Output
Energy of formation from the pure elements: 0.016 eV/atom
SG: P-1
Electronic total energy: -5.66 eV per atom
Density: 5.7 g/cm³
Total moment: 0.0 μB/f.u.

(5)
Here is a relaxed TlMoRhSe2 crystal from the Alexandria database. Energies are from GGA-PBE.

a b c (Å): 4.940 4.940 4.899
angles (deg): 90.00 90.00 90.00
Fractional coordinates of all 5 atoms:
1 Tl 0.000 0.000 0.000
2 Mo 0.500 0.500 0.500
3 Rh 0.500 0.500 0.000
4 Se 0.000 0.500 0.500
5 Se 0.500 0.000 0.500

Output
SG: P4/mmm
Electronic total energy: -5.20 eV per atom
Density: 7.8 g/cm³
Formation energy from raw total energies: 1.51 eV/f.u.
Total moment: 0.0 μB/f.u.

(6)
Here is a relaxed ZrTaMo2 crystal from the Alexandria database. Energies are from GGA-PBE.

a b c (Å): 3.294 4.475 4.814
angles (deg): 90.00 90.00 90.00
Fractional coordinates of all 4 atoms:
1 Zr 0.000 0.000 0.000
2 Ta 0.500 0.000 0.500
3 Mo 0.000 0.500 0.500
4 Mo 0.500 0.500 0.000

Output
Energy of formation from the pure elements: 0.042 eV/atom
SG: Pmmm
Electronic total energy: -10.47 eV per atom
Density: 10.9 g/cm³
Energy relative to the lowest polymorph listed for this composition: 117 meV per atom
Total moment: 0.0 μB/f.u.

(7)
Here is a relaxed KGaTc3 crystal from the Alexandria database. Energies are from GGA-PBE.

a b c (Å): 4.787 4.787 4.787
angles (deg): 90.00 90.00 90.00
Fractional coordinates of all 5 atoms:
1 K 0.000 0.000 0.000
2 Ga 0.500 0.500 0.500
3 Tc 0.000 0.500 0.500
4 Tc 0.500 0.000 0.500
5 Tc 0.500 0.500 0.000

Output
Energy of formation from the pure elements: 1.708 eV/atom
SG: Pm-3m
Electronic total energy: -5.34 eV per atom
Density: 6.1 g/cm³
Energy relative to the lowest polymorph listed for this composition: 0 meV per atom
Total moment: 4.8 μB/f.u.

(8)
Here is a relaxed NpAgBiS4 crystal from the Alexandria database. Energies are from GGA-PBE.

a b c (Å): 8.036 8.036 8.036
angles (deg): 120.18 119.69 90.12
Fractional coordinates of all 14 atoms:
1 Np 0.000 0.000 0.000
2 Np 0.500 0.000 0.500
3 Ag 0.372 0.622 0.750
4 Ag 0.628 0.378 0.250
5 Bi 0.000 0.000 0.500
6 Bi 0.000 0.500 0.000
7 S 0.233 0.235 0.997
8 S 0.250 0.226 0.476
9 S 0.250 0.773 0.024
10 S 0.262 0.765 0.497
11 S 0.738 0.235 0.503
12 S 0.750 0.227 0.976
13 S 0.750 0.774 0.524
14 S 0.767 0.765 0.003

Output
SG: Imma
Electronic total energy: -5.86 eV per atom
Density: 6.2 g/cm³
Formation energy from raw total energies: -4.83 eV/f.u.
Total moment: 3.0 μB/f.u.

(9)
Here is a relaxed ErLuGa crystal from the Alexandria database. Energies are from GGA-PBE.

a b c (Å): 4.910 4.910 3.586
angles (deg): 90.00 90.00 120.00
Fractional coordinates of all 3 atoms:
1 Er 0.000 0.000 0.000
2 Lu 0.333 0.667 0.469
3 Ga 0.667 0.333 0.694

Output
Energy of formation from the pure elements: -0.263 eV/atom
SG: P3m1
Electronic total energy: -4.30 eV per atom
Density: 9.1 g/cm³
Energy relative to the lowest polymorph listed for this composition: 122 meV per atom
Total moment: 0.0 μB/f.u.

(10)
Here is a relaxed TlW crystal from the Alexandria database. Energies are from GGA-PBE.

a b c (Å): 5.629 5.629 5.174
angles (deg): 110.87 110.87 33.67
Fractional coordinates of all 4 atoms:
1 Tl 0.109 0.109 0.328
2 Tl 0.891 0.891 0.672
3 W 0.338 0.338 0.129
4 W 0.662 0.662 0.871

Output
Energy of formation from the pure elements: 0.975 eV/atom
SG: C2/m
Electronic total energy: -6.68 eV per atom
Density: 15.3 g/cm³
Energy relative to the lowest polymorph listed for this composition: 351 meV per atom
Total moment: 0.0 μB/f.u.

(11)
Here is a relaxed AlHg2W crystal from the Alexandria database. Energies are from GGA-PBE.

a b c (Å): 3.081 3.081 9.958
angles (deg): 90.00 90.00 124.56
Fractional coordinates of all 4 atoms:
1 Al 0.000 0.000 0.000
2 Hg 0.500 0.500 0.248
3 Hg 0.500 0.500 0.752
4 W 0.000 0.000 0.500

Output
Energy of formation from the pure elements: 0.637 eV/atom
SG: Cmmm
Electronic total energy: -3.69 eV per atom
Density: 13.1 g/cm³
Total moment: 0.0 μB/f.u.

(12)
Here is a relaxed NbZnOs3 crystal from the Alexandria database. Energies are from GGA-PBE.

a b c (Å): 4.756 4.756 4.756
angles (deg): 90.00 90.00 90.00
Fractional coordinates of all 5 atoms:
1 Nb 0.000 0.000 0.000
2 Zn 0.500 0.500 0.500
3 Os 0.000 0.000 0.500
4 Os 0.000 0.500 0.000
5 Os 0.500 0.000 0.000

Output
Energy of formation from the pure elements: 2.269 eV/atom
SG: Pm-3m
Electronic total energy: -6.74 eV per atom
Density: 11.3 g/cm³
Energy relative to the lowest polymorph listed for this composition: 671 meV per atom
Total moment: 1.0 μB/f.u.